*one*
Here is a relaxed structure of Tb3Pr4S8 from the Alexandria database. Energies are from PBE.

```
data_Tb3Pr4S8
_chemical_formula_sum 'Tb9 Pr12 S24'
_cell_length_a 7.8817
_cell_length_b 7.8817
_cell_length_c 22.2409
_cell_angle_alpha 90.00
_cell_angle_beta 90.00
_cell_angle_gamma 120.00
_symmetry_space_group_name_H-M 'R -3 m'
_symmetry_Int_Tables_number 166
_symmetry_space_group_name_Hall '-R 3 2"'
loop_
_atom_site_label
_atom_site_type_symbol
_atom_site_fract_x
_atom_site_fract_y
_atom_site_fract_z
Tb1 Tb 0.0000 0.5000 0.0000
Pr1 Pr 0.0000 0.0000 0.0000
Pr2 Pr 0.0000 0.0000 0.1484
Pr3 Pr 0.0000 0.0000 0.5000
S1 S 0.0000 0.0000 0.2705
S2 S 0.0081 0.5041 0.2547
```

*two*
Here is a relaxed structure of Tb3Pr4S8 from the Alexandria database. Energies are from PBE.

```
data_Tb3Pr4S8
_chemical_formula_sum 'Tb6 Pr8 S16'
_cell_length_a 11.360
_cell_length_b 11.368
_cell_length_c 8.023
_cell_angle_alpha 90.00
_cell_angle_beta 134.87
_cell_angle_gamma 90.00
_symmetry_space_group_name_H-M 'C 1 2/m 1'
_symmetry_Int_Tables_number 12
_symmetry_space_group_name_Hall '-C 2y'
loop_
_atom_site_label
_atom_site_type_symbol
_atom_site_fract_x
_atom_site_fract_y
_atom_site_fract_z
Tb1 Tb 0.000 0.000 0.000
Tb2 Tb 0.250 0.250 0.500
Pr1 Pr 0.000 0.000 0.500
Pr2 Pr 0.000 0.500 0.000
Pr3 Pr 0.250 0.250 0.000
S1 S 0.000 0.245 0.000
S2 S 0.000 0.254 0.500
S3 S 0.248 0.000 0.007
S4 S 0.249 0.000 0.490
```

What should be chosen as the most stable of them? Choose *two*.

*one*
Here is a relaxed structure of TbPrS2 from the Alexandria database. Energies are from PBE.

```
data_TbPrS2
_chemical_formula_sum 'Tb2 Pr2 S4'
_cell_length_a 6.907
_cell_length_b 4.001
_cell_length_c 7.027
_cell_angle_alpha 90.00
_cell_angle_beta 109.22
_cell_angle_gamma 90.00
_symmetry_space_group_name_H-M 'C 1 2/m 1'
_symmetry_Int_Tables_number 12
_symmetry_space_group_name_Hall '-C 2y'
loop_
_atom_site_label
_atom_site_type_symbol
_atom_site_fract_x
_atom_site_fract_y
_atom_site_fract_z
Tb1 Tb 0.000 0.000 0.000
Pr1 Pr 0.000 0.500 0.500
S1 S 0.244 0.500 0.233
```

*two*
Here is a relaxed structure of TbPrS2 from the Alexandria database. Energies are from PBE.

```
data_TbPrS2
_chemical_formula_sum 'Tb3 Pr3 S6'
_cell_length_a 3.9147
_cell_length_b 3.9147
_cell_length_c 21.0325
_cell_angle_alpha 90.00
_cell_angle_beta 90.00
_cell_angle_gamma 120.00
_symmetry_space_group_name_H-M 'R 3 m'
_symmetry_Int_Tables_number 160
_symmetry_space_group_name_Hall 'R 3 -2"'
loop_
_atom_site_label
_atom_site_type_symbol
_atom_site_fract_x
_atom_site_fract_y
_atom_site_fract_z
Tb1 Tb 0.0000 0.0000 0.0000
Pr1 Pr 0.0000 0.0000 0.1779
S1 S 0.0000 0.0000 0.5923
S2 S 0.0000 0.0000 0.7521
```

What should be chosen as the most stable of them? Choose *one*.

*one*
Here is a relaxed structure of TbPrS3 from the Alexandria database. Energies are from PBE.

```
data_TbPrS3
_chemical_formula_sum 'Tb4 Pr4 S12'
_cell_length_a 7.443
_cell_length_b 4.026
_cell_length_c 15.492
_cell_angle_alpha 90.00
_cell_angle_beta 90.00
_cell_angle_gamma 90.00
_symmetry_space_group_name_H-M 'P n m a'
_symmetry_Int_Tables_number 62
_symmetry_space_group_name_Hall '-P 2ac 2n'
loop_
_atom_site_label
_atom_site_type_symbol
_atom_site_fract_x
_atom_site_fract_y
_atom_site_fract_z
Tb1 Tb 0.231 0.250 0.044
Pr1 Pr 0.144 0.750 0.299
S1 S 0.012 0.750 0.105
S2 S 0.125 0.250 0.438
S3 S 0.148 0.750 0.716
```

*two*
Here is a relaxed structure of TbPrS3 from the Alexandria database. Energies are from PBE.

```
data_TbPrS3
_chemical_formula_sum 'Tb2 Pr2 S6'
_cell_length_a 7.911
_cell_length_b 3.996
_cell_length_c 7.928
_cell_angle_alpha 90.00
_cell_angle_beta 94.42
_cell_angle_gamma 90.00
_symmetry_space_group_name_H-M 'P 1 21/m 1'
_symmetry_Int_Tables_number 11
_symmetry_space_group_name_Hall '-P 2yb'
loop_
_atom_site_label
_atom_site_type_symbol
_atom_site_fract_x
_atom_site_fract_y
_atom_site_fract_z
Tb1 Tb 0.177 0.250 0.147
Pr1 Pr 0.270 0.250 0.623
S1 S 0.114 0.750 0.374
S2 S 0.179 0.750 0.902
S3 S 0.477 0.250 0.319
```

What should be chosen as the most stable of them? Choose *one*.

*one*
Here is a relaxed structure of Pr2TeS from the Alexandria database. Energies are from PBE.

```
data_Pr2TeS
_chemical_formula_sum 'Pr8 Te4 S4'
_cell_length_a 8.655
_cell_length_b 7.206
_cell_length_c 7.494
_cell_angle_alpha 90.00
_cell_angle_beta 90.00
_cell_angle_gamma 90.00
_symmetry_space_group_name_H-M 'P b c m'
_symmetry_Int_Tables_number 57
_symmetry_space_group_name_Hall '-P 2c 2b'
loop_
_atom_site_label
_atom_site_type_symbol
_atom_site_fract_x
_atom_site_fract_y
_atom_site_fract_z
Pr1 Pr 0.099 0.250 0.000
Pr2 Pr 0.338 0.750 0.000
Te1 Te 0.379 0.105 0.250
S1 S 0.122 0.575 0.250
```

*two*
Here is a relaxed structure of Pr2TeS from the Alexandria database. Energies are from PBE.

```
data_Pr2TeS
_chemical_formula_sum 'Pr6 Te3 S3'
_cell_length_a 4.2092
_cell_length_b 4.2092
_cell_length_c 22.3188
_cell_angle_alpha 90.00
_cell_angle_beta 90.00
_cell_angle_gamma 120.00
_symmetry_space_group_name_H-M 'R 3 m'
_symmetry_Int_Tables_number 160
_symmetry_space_group_name_Hall 'R 3 -2"'
loop_
_atom_site_label
_atom_site_type_symbol
_atom_site_fract_x
_atom_site_fract_y
_atom_site_fract_z
Pr1 Pr 0.0000 0.0000 0.0000
Pr2 Pr 0.0000 0.0000 0.1936
Te1 Te 0.0000 0.0000 0.4299
S1 S 0.0000 0.0000 0.5986
```

What should be chosen as the most stable of them? Choose *two*.

*one*
Here is a relaxed structure of PrTeS from the Alexandria database. Energies are from PBE.

```
data_PrTeS
_chemical_formula_sum 'Pr2 Te2 S2'
_cell_length_a 3.848
_cell_length_b 3.848
_cell_length_c 11.038
_cell_angle_alpha 90.00
_cell_angle_beta 90.00
_cell_angle_gamma 90.00
_symmetry_space_group_name_H-M 'I 4 m m'
_symmetry_Int_Tables_number 107
_symmetry_space_group_name_Hall 'I 4 -2'
loop_
_atom_site_label
_atom_site_type_symbol
_atom_site_fract_x
_atom_site_fract_y
_atom_site_fract_z
Pr1 Pr 0.000 0.000 0.000
Te1 Te 0.000 0.000 0.691
S1 S 0.000 0.000 0.406
```

*two*
Here is a relaxed structure of PrTeS from the Alexandria database. Energies are from PBE.

```
data_PrTeS
_chemical_formula_sum 'Pr4 Te4 S4'
_cell_length_a 4.289
_cell_length_b 4.289
_cell_length_c 17.552
_cell_angle_alpha 90.00
_cell_angle_beta 90.00
_cell_angle_gamma 90.00
_symmetry_space_group_name_H-M 'I 4/m m m'
_symmetry_Int_Tables_number 139
_symmetry_space_group_name_Hall '-I 4 2'
loop_
_atom_site_label
_atom_site_type_symbol
_atom_site_fract_x
_atom_site_fract_y
_atom_site_fract_z
Pr1 Pr 0.000 0.000 0.156
Te1 Te 0.000 0.500 0.000
S1 S 0.000 0.000 0.316
```

What should be chosen as the most stable of them? Choose *two*.

*one*
Here is a relaxed structure of Pr3Te2S from the Alexandria database. Energies are from PBE.

```
data_Pr3Te2S
_chemical_formula_sum 'Pr6 Te4 S2'
_cell_length_a 4.286
_cell_length_b 6.197
_cell_length_c 13.601
_cell_angle_alpha 90.00
_cell_angle_beta 90.00
_cell_angle_gamma 90.00
_symmetry_space_group_name_H-M 'I m m m'
_symmetry_Int_Tables_number 71
_symmetry_space_group_name_Hall '-I 2 2'
loop_
_atom_site_label
_atom_site_type_symbol
_atom_site_fract_x
_atom_site_fract_y
_atom_site_fract_z
Pr1 Pr 0.000 0.000 0.000
Pr2 Pr 0.000 0.000 0.361
Te1 Te 0.000 0.500 0.322
S1 S 0.000 0.500 0.000
```

*two*
Here is a relaxed structure of Pr3Te2S from the Alexandria database. Energies are from PBE.

```
data_Pr3Te2S
_chemical_formula_sum 'Pr6 Te4 S2'
_cell_length_a 4.2978
_cell_length_b 4.2978
_cell_length_c 22.8168
_cell_angle_alpha 90.00
_cell_angle_beta 90.00
_cell_angle_gamma 120.00
_symmetry_space_group_name_H-M 'P 63/m m c'
_symmetry_Int_Tables_number 194
_symmetry_space_group_name_Hall '-P 6c 2c'
loop_
_atom_site_label
_atom_site_type_symbol
_atom_site_fract_x
_atom_site_fract_y
_atom_site_fract_z
Pr1 Pr 0.0000 0.0000 0.0000
Pr2 Pr 0.3333 0.6667 0.1728
Te1 Te 0.3333 0.6667 0.5871
S1 S 0.0000 0.0000 0.2500
```

What should be chosen as the most stable of them? Choose *one*.

*one*
Here is a relaxed structure of PrThS3 from the Alexandria database. Energies are from PBE.

```
data_PrThS3
_chemical_formula_sum 'Pr4 Th4 S12'
_cell_length_a 15.290
_cell_length_b 4.788
_cell_length_c 8.096
_cell_angle_alpha 90.00
_cell_angle_beta 97.37
_cell_angle_gamma 90.00
_symmetry_space_group_name_H-M 'C 1 2/m 1'
_symmetry_Int_Tables_number 12
_symmetry_space_group_name_Hall '-C 2y'
loop_
_atom_site_label
_atom_site_type_symbol
_atom_site_fract_x
_atom_site_fract_y
_atom_site_fract_z
Pr1 Pr 0.135 0.000 0.376
Th1 Th 0.125 0.500 0.896
S1 S 0.053 0.500 0.207
S2 S 0.177 0.500 0.584
S3 S 0.180 0.000 0.038
```

*two*
Here is a relaxed structure of PrThS3 from the Alexandria database. Energies are from PBE.

```
data_PrThS3
_chemical_formula_sum 'Pr4 Th4 S12'
_cell_length_a 7.573
_cell_length_b 4.041
_cell_length_c 15.677
_cell_angle_alpha 90.00
_cell_angle_beta 90.00
_cell_angle_gamma 90.00
_symmetry_space_group_name_H-M 'P n m a'
_symmetry_Int_Tables_number 62
_symmetry_space_group_name_Hall '-P 2ac 2n'
loop_
_atom_site_label
_atom_site_type_symbol
_atom_site_fract_x
_atom_site_fract_y
_atom_site_fract_z
Pr1 Pr 0.110 0.250 0.206
Th1 Th 0.247 0.750 0.457
S1 S 0.010 0.250 0.399
S2 S 0.130 0.750 0.069
S3 S 0.168 0.250 0.781
```

What should be chosen as the most stable of them? Choose *two*.

*one*
Here is a relaxed structure of Pr2TlS from the Alexandria database. Energies are from PBE.

```
data_Pr2TlS
_chemical_formula_sum 'Pr6 Tl3 S3'
_cell_length_a 4.0039
_cell_length_b 4.0039
_cell_length_c 25.2353
_cell_angle_alpha 90.00
_cell_angle_beta 90.00
_cell_angle_gamma 120.00
_symmetry_space_group_name_H-M 'R 3 m'
_symmetry_Int_Tables_number 160
_symmetry_space_group_name_Hall 'R 3 -2"'
loop_
_atom_site_label
_atom_site_type_symbol
_atom_site_fract_x
_atom_site_fract_y
_atom_site_fract_z
Pr1 Pr 0.0000 0.0000 0.0000
Pr2 Pr 0.0000 0.0000 0.2003
Tl1 Tl 0.0000 0.0000 0.4330
S1 S 0.0000 0.0000 0.6009
```

*two*
Here is a relaxed structure of Pr2TlS from the Alexandria database. Energies are from PBE.

```
data_Pr2TlS
_chemical_formula_sum 'Pr6 Tl3 S3'
_cell_length_a 4.0621
_cell_length_b 4.0621
_cell_length_c 24.3547
_cell_angle_alpha 90.00
_cell_angle_beta 90.00
_cell_angle_gamma 120.00
_symmetry_space_group_name_H-M 'R -3 m'
_symmetry_Int_Tables_number 166
_symmetry_space_group_name_Hall '-R 3 2"'
loop_
_atom_site_label
_atom_site_type_symbol
_atom_site_fract_x
_atom_site_fract_y
_atom_site_fract_z
Pr1 Pr 0.0000 0.0000 0.2353
Tl1 Tl 0.0000 0.0000 0.0000
S1 S 0.0000 0.0000 0.5000
```

What should be chosen as the most stable of them? Choose *two*.